4
Lattice="4.716 0.000 0.000 0.000 4.716 0.000 0.000 0.000 4.807" Properties=species:S:1:pos:R:3 comment="La2YTc | the Alexandria database | PBE-GGA | relaxed" delta_e_f_mev_per_atom=332 sg="P4/mmm (123)" de_polymorph_ev_per_atom=0.371 pbc="T T T"
La 0.000 0.000 0.000
La 2.358 2.358 0.000
Y 0.000 2.358 2.404
Tc 2.358 0.000 2.404